First-principles (GGA-PBE) data for PmGe2Pb2Au7 after structural relaxation, as listed in Alexandria via LeMat-Bulk.

Cell lengths 4.3803, 4.3803, 15.5807 Å; angles 97.81, 97.81, 90.00 degrees
Fractional positions:
Pm 0.0000 0.0000 0.0000
Ge 0.3876 0.3876 0.7649
Ge 0.6124 0.6124 0.2351
Pb 0.2014 0.2014 0.4107
Pb 0.7986 0.7986 0.5893
Au 0.0681 0.5690 0.1426
Au 0.3024 0.3024 0.5984
Au 0.4310 0.9319 0.8574
Au 0.5000 0.5000 0.0000
Au 0.5690 0.0681 0.1426
Au 0.6976 0.6976 0.4016
Au 0.9319 0.4310 0.8574

Output
Formation enthalpy at 0 K = -211 kJ/mol of formula units
Density = 11.8 g/cm³
SG = No. 12